(1)
Ac4PrPu3Se8: optimized geometry, PBE.

Calculated values
For the magnetization, the calculation gives 17.80 μB/cell. The value obtained for the uncorrected formation energy is -167 kJ/mol of atoms.

Cell: 8.6319 8.6820 8.6316 Å, 119.81 120.00 90.00°
Each line ends with the local moment (μB).
Element x y z (fractional)
Se: 0.7539 0.2683 0.5078  -0.03
Se: 0.2606 0.2683 0.0144  -0.03
Se: 0.7538 0.2683 0.0144  -0.03
Se: 0.2462 0.7317 0.9856  -0.03
Se: 0.7427 0.7281 0.4853  -0.05
Se: 0.7394 0.7317 0.9856  -0.03
Se: 0.2573 0.2719 0.5147  -0.05
Se: 0.2461 0.7317 0.4922  -0.03
Ac: 0.5000 0.0000 0.5000  0.03
Ac: 0.5000 0.0000 0.0000  0.04
Ac: 0.0000 0.0000 0.0000  0.03
Ac: 0.0000 0.0000 0.5000  0.03
Pu: 0.5000 0.5000 0.5000  5.49
Pu: 0.5000 0.5000 0.0000  5.49
Pu: 0.0000 0.5000 0.5000  5.49
Pr: 0.0000 0.5000 0.0000  0.05

***

(2)
K8Na3Au: optimized geometry, PBE.

Calculated values
For the magnetization, the calculation gives 0.00 μB/cell. For the energy of formation, the calculation gives -0.4 eV per formula unit.

Cell: 8.7895 13.1472 13.1472 Å, 120.00 90.00 90.00°
Element x y z (fractional)
Na: 0.7412 0.1609 0.8391
Na: 0.2412 0.8391 0.1609
Na: 0.7412 0.1609 0.3219
Na: 0.7412 0.6781 0.8391
Na: 0.2412 0.8391 0.6781
Na: 0.2412 0.3219 0.1609
K: 0.7777 0.3662 0.1831
K: 0.4792 0.5390 0.0779
K: 0.7777 0.8169 0.6338
K: 0.2777 0.1831 0.8169
K: 0.9792 0.4610 0.9221
K: 0.4792 0.9221 0.4610
K: 0.9792 0.4610 0.5390
K: 0.4792 0.5390 0.4610
K: 0.5055 0.0000 0.0000
K: 0.0801 0.6667 0.3333
K: 0.7777 0.8169 0.1831
K: 0.9792 0.0779 0.5390
K: 0.5801 0.3333 0.6667
K: 0.2777 0.6338 0.8169
K: 0.2777 0.1831 0.3662
K: 0.0055 0.0000 0.0000
Au: 0.1933 0.3333 0.6667
Au: 0.6933 0.6667 0.3333